(1)
This record from Alexandria describes crystalline Ac4AsPb2Br at its relaxed geometry. The functional is PBE.

Lattice parameters (Å, degrees): 8.0529 4.7457 8.3155 90.00 109.55 90.00
Closest atoms and distances in Å follow each position.
Fractional positions:
Ac  0.2397  0.0000  0.2338  2 As 3.26, 3 Pb 3.30-3.44, 1 Br 3.39
Ac  0.2531  0.5000  0.7657  1 As 3.26, 3 Pb 3.28-3.43, 2 Br 3.41
Ac  0.7469  0.5000  0.2343  1 As 3.26, 3 Pb 3.28-3.43, 2 Br 3.41
Ac  0.7603  0.0000  0.7662  2 As 3.26, 3 Pb 3.30-3.44, 1 Br 3.39
As  0.0000  0.5000  0.0000  6 Ac 3.26
Pb  0.5000  0.0000  0.0000  6 Ac 3.28-3.30
Pb  0.5000  0.5000  0.5000  6 Ac 3.43-3.44
Br  0.0000  0.0000  0.5000  6 Ac 3.39-3.41

Calculated values
DOS(E_F): 0.3340 states/eV/atom
Uncorrected formation energy: -0.96 eV/atom


(2)
This record from Alexandria describes crystalline LiEuO2 at its relaxed geometry. The functional is PBE.

Lattice parameters (Å, degrees): 5.4465 5.4465 5.4465 37.05 37.05 37.05
Closest atoms and distances in Å follow each position.
Fractional positions:
Li  0.0000  0.0000  0.0000  6 O 2.39
Eu  0.5000  0.5000  0.5000  6 O 2.35
O  0.2477  0.2477  0.2477  3 Eu 2.35, 3 Li 2.39
O  0.7523  0.7523  0.7523  3 Eu 2.35, 3 Li 2.39

Calculated values
DOS(E_F): 0.9988 states/eV/atom
Uncorrected formation energy: -2.29 eV/atom


(3)
This record from Alexandria describes crystalline Li2TbHg4 at its relaxed geometry. The functional is PBE.

Lattice parameters (Å, degrees): 8.6089 8.6089 8.6089 31.90 31.90 31.90
Closest atoms and distances in Å follow each position.
Fractional positions:
Li  0.2442  0.2442  0.2442  7 Hg 2.80-2.91
Li  0.7558  0.7558  0.7558  7 Hg 2.80-2.91
Tb  0.0000  0.0000  0.0000  8 Hg 3.14-3.18, 6 Li 3.50
Hg  0.1300  0.1300  0.1300  4 Li 2.80-2.91
Hg  0.3969  0.3969  0.3969  3 Li 2.80
Hg  0.6031  0.6031  0.6031  3 Li 2.80
Hg  0.8700  0.8700  0.8700  4 Li 2.80-2.91

Calculated values
Formation energy from the elements: -0.29 eV/atom
DOS(E_F): 0.6078 states/eV/atom


(4)
This record from Alexandria describes crystalline CaSi2Ag6 at its relaxed geometry. The functional is PBE.

Lattice parameters (Å, degrees): 4.3314 4.3314 9.0107 90.00 90.00 90.00
Closest atoms and distances in Å follow each position.
Fractional positions:
Ca  0.0000  0.0000  0.0000  8 Si 3.27, 8 Ag 3.33
Si  0.5000  0.5000  0.1281  1 Si 2.31, 4 Ag 2.56
Si  0.5000  0.5000  0.8719  1 Si 2.31, 4 Ag 2.56
Ag  0.0000  0.0000  0.5000  12 Ag 2.93-3.06
Ag  0.0000  0.5000  0.2803  2 Si 2.56
Ag  0.0000  0.5000  0.7197  2 Si 2.56
Ag  0.5000  0.0000  0.2803  2 Si 2.56
Ag  0.5000  0.0000  0.7197  2 Si 2.56
Ag  0.5000  0.5000  0.5000  12 Ag 2.93-3.06

Calculated values
DOS(E_F): 0.4199 states/eV/atom
Uncorrected formation energy: -0.13 eV/atom


(5)
This record from Alexandria describes crystalline Tb3Nd3TmTe8 at its relaxed geometry. The functional is PBE.

Lattice parameters (Å, degrees): 8.8555 8.8555 8.8555 59.63 59.63 59.63
Closest atoms and distances in Å follow each position.
Fractional positions:
Tb  0.0000  0.5000  0.5000  6 Te 3.08
Tb  0.5000  0.0000  0.5000  6 Te 3.08
Tb  0.5000  0.5000  0.0000  6 Te 3.08
Nd  0.0000  0.0000  0.5000  6 Te 3.16
Nd  0.0000  0.5000  0.0000  6 Te 3.16
Nd  0.5000  0.0000  0.0000  6 Te 3.16
Tm  0.0000  0.0000  0.0000  6 Te 3.12
Te  0.2495  0.2495  0.7439  2 Tb 3.08, 1 Tm 3.12, 2 Nd 3.16
Te  0.2495  0.7439  0.2495  2 Tb 3.08, 1 Tm 3.12, 2 Nd 3.16
Te  0.2533  0.2533  0.2533  3 Tb 3.08, 3 Nd 3.16
Te  0.2561  0.7505  0.7505  2 Tb 3.08, 1 Tm 3.12, 2 Nd 3.16
Te  0.7439  0.2495  0.2495  2 Tb 3.08, 1 Tm 3.12, 2 Nd 3.16
Te  0.7467  0.7467  0.7467  3 Tb 3.08, 3 Nd 3.16
Te  0.7505  0.2561  0.7505  2 Tb 3.08, 1 Tm 3.12, 2 Nd 3.16
Te  0.7505  0.7505  0.2561  2 Tb 3.08, 1 Tm 3.12, 2 Nd 3.16

Calculated values
DOS(E_F): 0.4599 states/eV/atom
Uncorrected formation energy: -1.41 eV/atom


(6)
This record from Alexandria describes crystalline ZnCoCl2 at its relaxed geometry. The functional is PBE.

Lattice parameters (Å, degrees): 3.4768 3.4768 8.8778 90.00 90.00 124.18
Closest atoms and distances in Å follow each position.
Fractional positions:
Zn  0.0000  0.0000  0.0000  2 Cl 2.32, 2 Co 2.55
Co  0.5000  0.5000  0.7791  2 Cl 2.20
Cl  0.0000  0.0000  0.6123  2 Co 2.20
Cl  0.5000  0.5000  0.1858  2 Zn 2.32

Calculated values
ΔE to the lowest computed polymorph: 0.584 eV/f.u.
DOS(E_F): 1.0533 states/eV/atom
Uncorrected formation energy: -0.19 eV/atom


(7)
This record from Alexandria describes crystalline CaSbSI2 at its relaxed geometry. The functional is PBE.

Lattice parameters (Å, degrees): 5.6049 5.6049 5.3153 90.00 90.00 90.00
Closest atoms and distances in Å follow each position.
Fractional positions:
Ca  0.0000  0.0000  0.0000  8 I 3.86, 4 Sb 3.96
Sb  0.5000  0.5000  0.0000  2 S 2.66
S  0.5000  0.5000  0.5000  2 Sb 2.66, 4 I 2.80
I  0.0000  0.5000  0.5000  2 S 2.80
I  0.5000  0.0000  0.5000  2 S 2.80

Calculated values
ΔE to the lowest computed polymorph: 0.000 eV/f.u.
DOS(E_F): 0.6400 states/eV/atom
Uncorrected formation energy: -0.10 eV/atom


(8)
This record from Alexandria describes crystalline Ce5Sb3 at its relaxed geometry. The functional is PBE.

Lattice parameters (Å, degrees): 9.3204 9.3204 6.3549 90.00 90.00 120.00
Closest atoms and distances in Å follow each position.
Fractional positions:
Ce  0.0000  0.2594  0.2500  5 Sb 3.15-3.38
Ce  0.0000  0.7406  0.7500  5 Sb 3.15-3.38
Ce  0.2594  0.0000  0.2500  5 Sb 3.15-3.38
Ce  0.2594  0.2594  0.7500  5 Sb 3.15-3.38
Ce  0.3333  0.6667  0.0000  2 Ce 3.18, 6 Sb 3.31
Ce  0.3333  0.6667  0.5000  2 Ce 3.18, 6 Sb 3.31
Ce  0.6667  0.3333  0.0000  2 Ce 3.18, 6 Sb 3.31
Ce  0.6667  0.3333  0.5000  2 Ce 3.18, 6 Sb 3.31
Ce  0.7406  0.0000  0.7500  5 Sb 3.15-3.38
Ce  0.7406  0.7406  0.2500  5 Sb 3.15-3.38
Sb  0.0000  0.3825  0.7500  9 Ce 3.15-3.38
Sb  0.0000  0.6175  0.2500  9 Ce 3.15-3.38
Sb  0.3825  0.0000  0.7500  9 Ce 3.15-3.38
Sb  0.3825  0.3825  0.2500  9 Ce 3.15-3.38
Sb  0.6175  0.0000  0.2500  9 Ce 3.15-3.38
Sb  0.6175  0.6175  0.7500  9 Ce 3.15-3.38

Calculated values
DOS(E_F): 3.5275 states/eV/atom
Uncorrected formation energy: -0.80 eV/atom